No. 1
# BaTePtI2

A geometry-optimized BaTePtI2 structure (GGA-PBE, the Alexandria database).

The structure in extended XYZ format:
```
5
Lattice="6.6380 0.0000 0.0000 0.0000 6.6380 0.0000 0.0000 0.0000 6.9846" Properties=species:S:1:pos:R:3 pbc="T T T"
Ba 0.0000 0.0000 0.0000
Te 0.0000 0.0000 3.4923
Pt 3.3190 3.3190 3.4923
I 0.0000 3.3190 0.0000
I 3.3190 0.0000 0.0000
```

Summary:
The energy relative to the elements, uncorrected is 0.467 eV per atom.


No. 2
# Ba8TePt3I4

A geometry-optimized Ba8TePt3I4 structure (GGA-PBE, the Alexandria database).

The structure in extended XYZ format:
```
16
Lattice="4.7692 2.7535 8.6084 -4.7692 2.7535 8.6084 0.0000 -5.5070 8.6084" Properties=species:S:1:pos:R:3 pbc="T T T"
Ba -2.5330 -1.4624 14.6586
Ba 0.0000 0.0000 6.0640
Ba 0.0000 -2.9248 11.1666
Ba -2.5330 1.4624 11.1666
Ba 2.5330 -1.4624 14.6585
Ba 0.0000 2.9248 14.6585
Ba 0.0000 0.0000 19.7611
Ba 2.5330 1.4624 11.1666
Te 0.0000 0.0000 12.9126
Pt -4.7692 0.0000 12.9125
Pt -2.3846 1.3767 4.3042
Pt 2.3846 1.3768 4.3042
I 0.0000 0.0000 0.0000
I -2.3846 -1.3768 8.6084
I -2.3846 1.3767 17.2167
I 0.0000 2.7535 8.6084
```

Summary:
The energy relative to the elements, uncorrected is -1.233 eV per atom.


No. 3
# Ba2TlPtI

A geometry-optimized Ba2TlPtI structure (GGA-PBE, the Alexandria database).

The structure in extended XYZ format:
```
5
Lattice="6.2982 0.0000 0.0000 0.0000 6.2982 0.0000 0.0000 0.0000 5.2299" Properties=species:S:1:pos:R:3 pbc="T T T"
Ba 0.0000 3.1491 0.0000
Ba 3.1491 0.0000 0.0000
Tl 0.0000 0.0000 2.6150
Pt 0.0000 0.0000 0.0000
I 3.1491 3.1491 2.6150
```

Summary:
The energy relative to the elements, uncorrected is -0.809 eV per atom.


No. 4
# Ba6TlPt2I3

A geometry-optimized Ba6TlPt2I3 structure (GGA-PBE, the Alexandria database).

The structure in extended XYZ format:
```
12
Lattice="11.1515 -2.3378 0.0000 11.1515 2.3378 0.0000 -3.5617 0.0000 9.8689" Properties=species:S:1:pos:R:3 pbc="T T T"
Ba -0.5294 0.0000 2.4909
Ba 5.5351 0.0000 4.4027
Ba 4.3463 0.0000 8.6852
Ba 14.3951 0.0000 1.1837
Ba 13.2062 0.0000 5.4662
Ba 19.2708 0.0000 7.3780
Tl 11.1515 0.0000 0.0000
Pt 2.5601 0.0000 3.3117
Pt 16.1813 0.0000 6.5571
I 0.7166 0.0000 8.1626
I 9.3707 0.0000 4.9344
I 18.0247 0.0000 1.7063
```

Summary:
The energy relative to the elements, uncorrected is -1.040 eV per atom.


Computed total magnetization, in the same sequence as the records: 1.5, 1.0, 0.0, 0.0 μB/cell.